Model A:
The following is a PBE calculation of crystalline SbTeIrN2 at its relaxed geometry, from the Alexandria database.

Unit cell a=3.8735 b=3.8735 c=8.2669 alpha=90.00 beta=90.00 gamma=90.00
Space group P4/mmm (No. 123)
Symmetry-distinct sites (fractional):
Sb (0.0000, 0.0000, 0.0000) (multiplicity 1)
Te (0.0000, 0.0000, 0.5000) (multiplicity 1)
Ir (0.5000, 0.5000, 0.5000) (multiplicity 1)
N (0.0000, 0.5000, 0.0000) (multiplicity 2)

## Properties
The value obtained for the calculated density is 6.29 g/cm³.

***

Model B:
The following is a PBE calculation of crystalline SbTeIrN2 at its relaxed geometry, from the Alexandria database.

Unit cell a=3.9365 b=3.9365 c=6.3208 alpha=90.00 beta=90.00 gamma=90.00
Space group P4/mmm (No. 123)
Symmetry-distinct sites (fractional):
Sb (0.0000, 0.0000, 0.0000) (multiplicity 1)
Te (0.5000, 0.5000, 0.0000) (multiplicity 1)
Ir (0.5000, 0.5000, 0.5000) (multiplicity 1)
N (0.0000, 0.5000, 0.5000) (multiplicity 2)

## Properties
The value obtained for the calculated density is 7.96 g/cm³.

***

Least stable: model A

***

Model A:
The following is a PBE calculation of crystalline ScIrN2 at its relaxed geometry, from the Alexandria database.

Unit cell a=4.5424 b=4.5424 c=10.3328 alpha=90.00 beta=90.00 gamma=90.00
Space group I-42d (No. 122)
Symmetry-distinct sites (fractional):
Sc (0.0000, 0.0000, 0.0000) (multiplicity 4)
Ir (0.0000, 0.0000, 0.5000) (multiplicity 4)
N (0.2243, 0.2500, 0.6250) (multiplicity 8)

## Properties
The value obtained for the calculated density is 8.26 g/cm³.

***

Model B:
The following is a PBE calculation of crystalline ScIrN2 at its relaxed geometry, from the Alexandria database.

Unit cell a=3.2256 b=3.2256 c=17.9827 alpha=90.00 beta=90.00 gamma=120.00
Space group R-3m (No. 166, hexagonal axes)
Symmetry-distinct sites (fractional):
Sc (0.0000, 0.0000, 0.0000) (multiplicity 3)
Ir (0.0000, 0.0000, 0.5000) (multiplicity 3)
N (0.0000, 0.0000, 0.3971) (multiplicity 6)

## Properties
The value obtained for the calculated density is 8.15 g/cm³.

***

Model C:
The following is a PBE calculation of crystalline ScIrN2 at its relaxed geometry, from the Alexandria database.

Unit cell a=5.5191 b=5.5191 c=5.5191 alpha=90.00 beta=90.00 gamma=90.00
Space group Fm-3m (No. 225)
Symmetry-distinct sites (fractional):
Sc (0.0000, 0.0000, 0.0000) (multiplicity 4)
Ir (0.0000, 0.0000, 0.5000) (multiplicity 4)
N (0.2500, 0.2500, 0.2500) (multiplicity 8)

## Properties
The value obtained for the calculated density is 10.48 g/cm³.

***

Least stable: model C

***

Model A:
The following is a PBE calculation of crystalline Sc2TcIrN at its relaxed geometry, from the Alexandria database.

Unit cell a=4.4466 b=4.4466 c=3.8363 alpha=90.00 beta=90.00 gamma=90.00
Space group P4/mmm (No. 123)
Symmetry-distinct sites (fractional):
Sc (0.0000, 0.5000, 0.0000) (multiplicity 2)
Tc (0.0000, 0.0000, 0.5000) (multiplicity 1)
Ir (0.5000, 0.5000, 0.5000) (multiplicity 1)
N (0.0000, 0.0000, 0.0000) (multiplicity 1)

## Properties
The value obtained for the calculated density is 8.63 g/cm³.

***

Model B:
The following is a PBE calculation of crystalline Sc2TcIrN at its relaxed geometry, from the Alexandria database.

Unit cell a=5.0185 b=5.0185 c=4.5998 alpha=90.00 beta=90.00 gamma=90.00
Space group P4/mmm (No. 123)
Symmetry-distinct sites (fractional):
Sc (0.0000, 0.5000, 0.0000) (multiplicity 2)
Tc (0.0000, 0.0000, 0.5000) (multiplicity 1)
Ir (0.0000, 0.0000, 0.0000) (multiplicity 1)
N (0.5000, 0.5000, 0.5000) (multiplicity 1)

## Properties
The value obtained for the calculated density is 5.65 g/cm³.

***

Least stable: model B